No. 1
## FeCuPdRu (GGA-PBE)

Data for a relaxed FeCuPdRu crystal.

Summary:
Energy of formation from the pure elements   15.7 kJ/mol of atoms
E   -6.59 eV per atom
D(E_F)   23.0 states/eV per cell

Cell lengths 5.995, 5.995, 5.995 Å; angles 90.00, 90.00, 90.00 degrees
Space group F-43m (No. 216)
One atom of each set of equivalent atoms:
Fe: 0.000 0.000 0.000 (multiplicity 4)
Cu: 0.000 0.000 0.500 (multiplicity 4)
Pd: 0.250 0.250 0.750 (multiplicity 4)
Ru: 0.250 0.250 0.250 (multiplicity 4)

---

No. 2
## CsLu2Cl7 (GGA-PBE)

Data for a relaxed CsLu2Cl7 crystal.

Summary:
ΔE_f (raw)   -2248 meV per atom
E   -4.53 eV per atom
D(E_F)   0.0 states/eV per cell

Cell lengths 14.454, 6.889, 12.479 Å; angles 90.00, 90.00, 90.00 degrees
Space group Pnma (No. 62)
One atom of each set of equivalent atoms:
Cs: 0.030 0.250 0.209 (multiplicity 4)
Lu: 0.245 0.250 0.555 (multiplicity 4)
Lu: 0.248 0.250 0.857 (multiplicity 4)
Cl: 0.119 0.750 0.205 (multiplicity 4)
Cl: 0.138 0.010 0.440 (multiplicity 8)
Cl: 0.139 0.010 0.972 (multiplicity 8)
Cl: 0.184 0.012 0.706 (multiplicity 8)

---

Q: Which value of E does entry 2 give?
A: -4.53 eV per atom